The following is a PBE calculation of crystalline K3NaAs2O6 at its relaxed geometry, from Alexandria via LeMat-Bulk.

Cell lengths 6.126, 6.126, 7.092 Å; angles 90.00, 90.00, 120.00 degrees
Atoms (fractional coordinates):
K 0.000 0.000 0.000
K 0.333 0.667 0.663
K 0.667 0.333 0.337
Na 0.000 0.000 0.500
As 0.333 0.667 0.204
As 0.667 0.333 0.796
O 0.179 0.359 0.285
O 0.179 0.821 0.285
O 0.359 0.179 0.715
O 0.641 0.821 0.285
O 0.821 0.179 0.715
O 0.821 0.641 0.715

Results
Magnetic moment = 1.96 μB per formula unit
Uncorrected energy = -5.111 eV per atom

***

The following is a PBE calculation of crystalline K2NaAsO4 at its relaxed geometry, from Alexandria via LeMat-Bulk.

Cell lengths 5.731, 5.731, 5.731 Å; angles 115.43, 115.43, 98.12 degrees
Atoms (fractional coordinates):
K 0.000 0.000 0.000
K 0.750 0.250 0.500
Na 0.250 0.750 0.500
As 0.500 0.500 0.000
O 0.230 0.558 0.047
O 0.442 0.488 0.672
O 0.512 0.183 0.953
O 0.817 0.770 0.328

Results
Magnetic moment = 0.13 μB per formula unit
Uncorrected energy = -5.191 eV per atom

***

The following is a PBE calculation of crystalline KNaAs2O6 at its relaxed geometry, from Alexandria via LeMat-Bulk.

Cell lengths 7.995, 7.995, 5.027 Å; angles 93.12, 93.12, 92.31 degrees
Atoms (fractional coordinates):
K 0.109 0.891 0.750
K 0.891 0.109 0.250
Na 0.302 0.698 0.250
Na 0.698 0.302 0.750
As 0.195 0.370 0.748
As 0.370 0.195 0.248
As 0.630 0.805 0.752
As 0.805 0.630 0.252
O 0.031 0.232 0.736
O 0.181 0.569 0.850
O 0.232 0.031 0.236
O 0.283 0.376 0.422
O 0.376 0.283 0.922
O 0.431 0.819 0.650
O 0.569 0.181 0.350
O 0.624 0.717 0.078
O 0.717 0.624 0.578
O 0.768 0.969 0.764
O 0.819 0.431 0.150
O 0.969 0.768 0.264

Results
Magnetic moment = 0.00 μB per formula unit
Uncorrected energy = -5.616 eV per atom

***

The following is a PBE calculation of crystalline KNaAs6Pb8O24 at its relaxed geometry, from Alexandria via LeMat-Bulk.

Cell lengths 10.296, 10.296, 7.527 Å; angles 90.00, 90.00, 120.00 degrees
Atoms (fractional coordinates):
K 0.000 0.000 0.000
Na 0.667 0.333 0.475
As 0.320 0.278 0.238
As 0.356 0.063 0.723
As 0.707 0.644 0.723
As 0.722 0.042 0.238
As 0.937 0.293 0.723
As 0.958 0.680 0.238
Pb 0.000 0.000 0.506
Pb 0.068 0.665 0.718
Pb 0.072 0.404 0.231
Pb 0.332 0.928 0.231
Pb 0.335 0.402 0.718
Pb 0.596 0.668 0.231
Pb 0.598 0.932 0.718
Pb 0.667 0.333 0.000
O 0.018 0.182 0.726
O 0.022 0.432 0.563
O 0.071 0.752 0.054
O 0.086 0.749 0.411
O 0.164 0.982 0.726
O 0.236 0.084 0.262
O 0.248 0.318 0.054
O 0.251 0.337 0.411
O 0.410 0.978 0.563
O 0.429 0.043 0.920
O 0.443 0.254 0.680
O 0.512 0.362 0.238
O 0.568 0.590 0.563
O 0.614 0.571 0.920
O 0.638 0.150 0.238
O 0.663 0.914 0.411
O 0.682 0.929 0.054
O 0.746 0.188 0.680
O 0.812 0.557 0.680
O 0.818 0.836 0.726
O 0.848 0.764 0.262
O 0.850 0.488 0.238
O 0.916 0.152 0.262
O 0.957 0.386 0.920

Results
Magnetic moment = 0.00 μB per formula unit
Uncorrected energy = -5.862 eV per atom

***

The following is a PBE calculation of crystalline KNa2AsPb at its relaxed geometry, from Alexandria via LeMat-Bulk.

Cell lengths 5.488, 5.488, 6.082 Å; angles 90.00, 90.00, 90.00 degrees
Atoms (fractional coordinates):
K 0.000 0.000 0.000
Na 0.000 0.500 0.000
Na 0.500 0.000 0.000
As 0.500 0.500 0.500
Pb 0.000 0.000 0.500

Results
Magnetic moment = 0.00 μB per formula unit
Uncorrected energy = -1.685 eV per atom

***

The following is a PBE calculation of crystalline KNa2AsPd at its relaxed geometry, from Alexandria via LeMat-Bulk.

Cell lengths 5.558, 5.558, 4.851 Å; angles 90.00, 90.00, 90.00 degrees
Atoms (fractional coordinates):
K 0.000 0.000 0.000
Na 0.000 0.500 0.500
Na 0.500 0.000 0.500
As 0.500 0.500 0.500
Pd 0.500 0.500 0.000

Results
Magnetic moment = 0.00 μB per formula unit
Uncorrected energy = -2.961 eV per atom
Energy relative to the lowest polymorph listed for this composition = 10.0 meV per atom

***

The following is a PBE calculation of crystalline K2NaAs2Pd at its relaxed geometry, from Alexandria via LeMat-Bulk.

Cell lengths 8.808, 8.808, 8.808 Å; angles 134.88, 65.54, 135.11 degrees
Atoms (fractional coordinates):
K 0.173 0.241 0.414
K 0.327 0.741 0.067
K 0.673 0.259 0.933
K 0.827 0.759 0.586
Na 0.250 0.250 0.000
Na 0.750 0.750 0.000
As 0.091 0.696 0.787
As 0.409 0.196 0.605
As 0.591 0.804 0.395
As 0.909 0.304 0.213
Pd 0.250 0.750 0.500
Pd 0.750 0.250 0.500

Results
Magnetic moment = 0.00 μB per formula unit
Uncorrected energy = -3.356 eV per atom

***

The following is a PBE calculation of crystalline KNa2AsPd at its relaxed geometry, from Alexandria via LeMat-Bulk.

Cell lengths 5.516, 5.516, 4.790 Å; angles 90.00, 90.00, 90.00 degrees
Atoms (fractional coordinates):
K 0.000 0.000 0.000
Na 0.000 0.500 0.500
Na 0.500 0.000 0.500
As 0.500 0.500 0.000
Pd 0.500 0.500 0.500

Results
Magnetic moment = 0.00 μB per formula unit
Uncorrected energy = -2.971 eV per atom
Energy relative to the lowest polymorph listed for this composition = 0.0 meV per atom

***

What is the formula in the eighth record? KNa2AsPd

***

Look up the uncorrected energy of the second one. -5.191 eV per atom

***

Among the records above, which one has the highest uncorrected energy? KNa2AsPb